1.
Entry from Alexandria via LeMat-Bulk: crystalline NbH2Pt2 at its relaxed geometry (PBE).

The structure belongs to space group P4/mbm (No. 127); the cell edges are 6.5469, 6.5469 and 2.8008 Å and the angles 90.00°, 90.00° and 90.00°. The distinct sites, in fractional coordinates, are Nb at (0.0000, 0.0000, 0.0000), H at (0.2293, 0.2707, 0.0000) and Pt at (0.1533, 0.6533, 0.5000).

As for the crystal system: tetragonal. The relative energy among the computed polymorphs is 15.9 kJ per mole of atoms.

2.
Entry from Alexandria via LeMat-Bulk: crystalline NbH3Pt at its relaxed geometry (PBE).

The structure belongs to space group Pm-3m (No. 221); the cell edges are 3.5713, 3.5713 and 3.5713 Å and the angles 90.00°, 90.00° and 90.00°. The distinct sites, in fractional coordinates, are Nb at (0.0000, 0.0000, 0.0000), H at (0.0000, 0.0000, 0.5000) and Pt at (0.5000, 0.5000, 0.5000).

As for the crystal system: cubic. The value obtained for the energy is -4.97 eV per atom.

3.
Entry from Alexandria via LeMat-Bulk: crystalline NbH3Pt at its relaxed geometry (PBE).

The structure belongs to space group Pm-3m (No. 221); the cell edges are 3.5275, 3.5275 and 3.5275 Å and the angles 90.00°, 90.00° and 90.00°. The distinct sites, in fractional coordinates, are Nb at (0.0000, 0.0000, 0.0000), H at (0.0000, 0.5000, 0.5000) and Pt at (0.5000, 0.5000, 0.5000).

As for the crystal system: cubic. The value obtained for the energy is -5.14 eV per atom.

4.
Entry from Alexandria via LeMat-Bulk: crystalline NbHPt at its relaxed geometry (PBE).

The structure belongs to space group Cmcm (No. 63); the cell edges are 2.8846, 11.0236 and 4.4755 Å and the angles 90.00°, 90.00° and 90.00°. The distinct sites, in fractional coordinates, are Nb at (0.0000, 0.1592, 0.2500), H at (0.0000, 0.2205, 0.7500) and Pt at (0.0000, 0.4316, 0.2500).

As for the crystal system: orthorhombic. The value obtained for the energy is -6.91 eV per atom.

5.
Entry from Alexandria via LeMat-Bulk: crystalline Nb2HPt at its relaxed geometry (PBE).

The structure belongs to space group I-42d (No. 122); the cell edges are 4.8284, 4.8284 and 11.0850 Å and the angles 90.00°, 90.00° and 90.00°. The distinct sites, in fractional coordinates, are Nb at (0.1135, 0.2500, 0.1250), H at (0.0000, 0.0000, 0.0000) and Pt at (0.0000, 0.0000, 0.5000).

As for the crystal system: tetragonal. The relative energy among the computed polymorphs is 0.8 kJ per mole of atoms.

6.
Entry from Alexandria via LeMat-Bulk: crystalline NbH2Pt2 at its relaxed geometry (PBE).

The structure belongs to space group I4/mmm (No. 139); the cell edges are 2.9138, 2.9138 and 13.1506 Å and the angles 90.00°, 90.00° and 90.00°. The distinct sites, in fractional coordinates, are Nb at (0.0000, 0.0000, 0.0000), H at (0.0000, 0.5000, 0.2500) and Pt at (0.0000, 0.0000, 0.3511).

As for the crystal system: tetragonal. The relative energy among the computed polymorphs is 0.0 kJ per mole of atoms.

7.
Entry from Alexandria via LeMat-Bulk: crystalline Nb3H12Pt5 at its relaxed geometry (PBE).

The structure belongs to space group Ia-3d (No. 230); the cell edges are 11.2461, 11.2461 and 11.2461 Å and the angles 90.00°, 90.00° and 90.00°. The distinct sites, in fractional coordinates, are Nb at (0.0000, 0.2500, 0.1250), H at (0.0152, 0.0668, 0.6544), Pt at (0.0000, 0.0000, 0.0000) and Pt at (0.0000, 0.2500, 0.3750).

As for the crystal system: cubic. The value obtained for the energy is -4.95 eV per atom.

8.
Entry from Alexandria via LeMat-Bulk: crystalline NbH3Pt at its relaxed geometry (PBE).

The structure belongs to space group P2_1/m (No. 11); the cell edges are 3.3295, 4.6330 and 5.8415 Å and the angles 90.00°, 106.67° and 90.00°. The distinct sites, in fractional coordinates, are Nb at (0.1662, 0.2500, 0.3348), H at (0.0260, 0.7500, 0.0512), H at (0.3077, 0.5167, 0.6140) and Pt at (0.4341, 0.2500, 0.8703).

As for the crystal system: monoclinic. The value obtained for the energy is -5.36 eV per atom.

9.
Entry from Alexandria via LeMat-Bulk: crystalline NbHPt3 at its relaxed geometry (PBE).

The structure belongs to space group Pm-3m (No. 221); the cell edges are 4.9104, 4.9104 and 4.9104 Å and the angles 90.00°, 90.00° and 90.00°. The distinct sites, in fractional coordinates, are Nb at (0.0000, 0.0000, 0.0000), H at (0.5000, 0.5000, 0.5000) and Pt at (0.0000, 0.0000, 0.5000).

As for the crystal system: cubic. The relative energy among the computed polymorphs is 157.5 kJ per mole of atoms.

10.
Entry from Alexandria via LeMat-Bulk: crystalline Nb2H2Pt at its relaxed geometry (PBE).

The structure belongs to space group P4/mbm (No. 127); the cell edges are 6.3911, 6.3911 and 2.8157 Å and the angles 90.00°, 90.00° and 90.00°. The distinct sites, in fractional coordinates, are Nb at (0.1516, 0.3484, 0.0000), H at (0.1124, 0.6124, 0.5000) and Pt at (0.0000, 0.0000, 0.5000).

As for the crystal system: tetragonal. The relative energy among the computed polymorphs is 13.8 kJ per mole of atoms.

11.
Entry from Alexandria via LeMat-Bulk: crystalline Nb2H2Pt at its relaxed geometry (PBE).

The structure belongs to space group I4/mmm (No. 139); the cell edges are 3.5735, 3.5735 and 8.9596 Å and the angles 90.00°, 90.00° and 90.00°. The distinct sites, in fractional coordinates, are Nb at (0.0000, 0.0000, 0.1579), H at (0.0000, 0.5000, 0.2500) and Pt at (0.0000, 0.0000, 0.5000).

As for the crystal system: tetragonal. The relative energy among the computed polymorphs is 0.0 kJ per mole of atoms.

12.
Entry from Alexandria via LeMat-Bulk: crystalline Nb3HPt at its relaxed geometry (PBE).

The structure belongs to space group Pm-3m (No. 221); the cell edges are 4.9298, 4.9298 and 4.9298 Å and the angles 90.00°, 90.00° and 90.00°. The distinct sites, in fractional coordinates, are Nb at (0.0000, 0.0000, 0.5000), H at (0.5000, 0.5000, 0.5000) and Pt at (0.0000, 0.0000, 0.0000).

As for the crystal system: cubic. The relative energy among the computed polymorphs is 194.9 kJ per mole of atoms.